(1)
# KFeTe | the Alexandria database | PBE | relaxed
data_KFeTe
_chemical_formula_sum 'K1 Fe1 Te1'
_symmetry_space_group_name_H-M 'P 1'
_symmetry_Int_Tables_number 1
_cell_length_a 4.496
_cell_length_b 4.496
_cell_length_c 5.329
_cell_angle_alpha 90.00
_cell_angle_beta 90.00
_cell_angle_gamma 120.00
loop_
_symmetry_equiv_pos_as_xyz
'x,y,z'
loop_
_atom_site_label
_atom_site_type_symbol
_atom_site_fract_x
_atom_site_fract_y
_atom_site_fract_z
K1 K 0.667 0.333 0.333
Fe1 Fe 0.000 0.000 0.834
Te1 Te 0.333 0.667 0.833
# **M_tot**: 3.00 μB per formula unit
# **E_tot**: -12.98 eV/cell
# **Formation energy without anion corrections**: -0.0923 eV/atom
# **Crystal system**: hexagonal
# **Relative energy among the computed polymorphs**: 60 meV/atom

(2)
# Hf2ThRu | the Alexandria database | PBE | relaxed
data_Hf2ThRu
_chemical_formula_sum 'Hf2 Th1 Ru1'
_symmetry_space_group_name_H-M 'P 1'
_symmetry_Int_Tables_number 1
_cell_length_a 3.302
_cell_length_b 3.302
_cell_length_c 8.037
_cell_angle_alpha 90.00
_cell_angle_beta 90.00
_cell_angle_gamma 90.00
loop_
_symmetry_equiv_pos_as_xyz
'x,y,z'
loop_
_atom_site_label
_atom_site_type_symbol
_atom_site_fract_x
_atom_site_fract_y
_atom_site_fract_z
Hf1 Hf 0.000 0.000 0.806
Hf2 Hf 0.000 0.000 0.194
Ru1 Ru 0.500 0.500 0.000
Th1 Th 0.500 0.500 0.500
# **M_tot**: 0.00 μB per formula unit
# **E_tot**: -37.77 eV/cell
# **Crystal system**: tetragonal
# **Calculated formation energy**: -0.291 eV per atom

(3)
# Cd4SiMo | the Alexandria database | PBE | relaxed
data_Cd4SiMo
_chemical_formula_sum 'Cd4 Si1 Mo1'
_symmetry_space_group_name_H-M 'P 1'
_symmetry_Int_Tables_number 1
_cell_length_a 5.640
_cell_length_b 5.640
_cell_length_c 5.640
_cell_angle_alpha 60.00
_cell_angle_beta 60.00
_cell_angle_gamma 60.00
loop_
_symmetry_equiv_pos_as_xyz
'x,y,z'
loop_
_atom_site_label
_atom_site_type_symbol
_atom_site_fract_x
_atom_site_fract_y
_atom_site_fract_z
Cd1 Cd 0.375 0.375 0.874
Cd2 Cd 0.375 0.874 0.375
Cd3 Cd 0.874 0.375 0.375
Cd4 Cd 0.375 0.375 0.375
Si1 Si 0.000 0.000 0.000
Mo1 Mo 0.750 0.750 0.750
# **M_tot**: 3.37 μB per formula unit
# **E_tot**: -15.62 eV/cell
# **Formation energy without anion corrections**: 0.7153 eV/atom
# **Crystal system**: cubic